# 1
Hg3H2I | PBE | relaxed

```
data_Hg3H2I
_chemical_formula_sum 'Hg12 H8 I4'
_cell_length_a 13.0797
_cell_length_b 6.1088
_cell_length_c 7.4541
_cell_angle_alpha 90.00
_cell_angle_beta 90.00
_cell_angle_gamma 90.00
_space_group_name_H-M_alt 'C m c m'
_space_group_IT_number 63
_space_group_name_Hall '-C 2c 2'
loop_
_atom_site_label
_atom_site_fract_x
_atom_site_fract_y
_atom_site_fract_z
Hg1 0.0000 0.2237 0.2500
Hg2 0.2333 0.0099 0.2500
H1 0.2353 0.0000 0.0000
I1 0.0000 0.2823 0.7500
```

VASP energy: -33.28 eV/cell

=====

# 2
Pm4RhAu | PBE | relaxed

```
data_Pm4RhAu
_chemical_formula_sum 'Pm4 Rh1 Au1'
_cell_length_a 6.1811
_cell_length_b 4.2514
_cell_length_c 7.7013
_cell_angle_alpha 90.00
_cell_angle_beta 113.11
_cell_angle_gamma 90.00
_space_group_name_H-M_alt 'P 1 2/m 1'
_space_group_IT_number 10
loop_
_space_group_symop_operation_xyz
'x,y,z'
'-x,-y,-z'
'-x,y,-z'
'x,-y,z'
loop_
_atom_site_label
_atom_site_fract_x
_atom_site_fract_y
_atom_site_fract_z
Pm1 0.0227 0.0000 0.2627
Pm2 0.4769 0.5000 0.7234
Rh1 0.0000 0.5000 0.5000
Au1 0.5000 0.0000 0.0000
```

DFT formation energy: -0.454 eV per atom
Polymorph energy (0 for the lowest one): 0.069 eV/atom

=====

# 3
YHo3Ga | PBE | relaxed

```
data_YHo3Ga
_chemical_formula_sum 'Y4 Ho12 Ga4'
_cell_length_a 11.8292
_cell_length_b 8.8318
_cell_length_c 7.6795
_cell_angle_alpha 90.00
_cell_angle_beta 130.02
_cell_angle_gamma 90.00
_space_group_name_H-M_alt 'C 1 2/m 1'
_space_group_IT_number 12
loop_
_space_group_symop_operation_xyz
'x,y,z'
'-x,-y,-z'
'-x,y,-z'
'x,-y,z'
'x+1/2,y+1/2,z'
'-x+1/2,-y+1/2,-z'
'-x+1/2,y+1/2,-z'
'x+1/2,-y+1/2,z'
loop_
_atom_site_label
_atom_site_fract_x
_atom_site_fract_y
_atom_site_fract_z
Y1 0.0529 0.0000 0.3251
Ho1 0.0688 0.5000 0.2691
Ho2 0.2148 0.3082 0.7503
Ga1 0.2433 0.5000 0.1116
```

DFT formation energy: -0.078 eV per atom

=====

# 4
Np2Be3GePt4 | PBE | relaxed

```
data_Np2Be3GePt4
_chemical_formula_sum 'Np2 Be3 Ge1 Pt4'
_cell_length_a 4.0745
_cell_length_b 4.0745
_cell_length_c 9.7963
_cell_angle_alpha 90.00
_cell_angle_beta 90.00
_cell_angle_gamma 90.00
_space_group_name_H-M_alt 'P -4 m 2'
_space_group_IT_number 115
loop_
_space_group_symop_operation_xyz
'x,y,z'
'y,-x,-z'
'-x,-y,z'
'-y,x,-z'
'-x,y,z'
'-y,-x,-z'
'x,-y,z'
'y,x,-z'
loop_
_atom_site_label
_atom_site_fract_x
_atom_site_fract_y
_atom_site_fract_z
Np1 0.0000 0.5000 0.2481
Be1 0.0000 0.5000 0.8804
Be2 0.5000 0.5000 0.5000
Ge1 0.0000 0.0000 0.5000
Pt1 0.0000 0.0000 0.0000
Pt2 0.0000 0.5000 0.6446
Pt3 0.5000 0.5000 0.0000
```

DFT formation energy: -0.560 eV per atom

=====

One value per record, in order, for calculated density: 8.1 7.8 7.1 13.8 Mg/m³.
One value per record, in order, for magnetization: 0.00 0.00 0.00 0.76 μB per atom.